Record 1
Computed, not measured: Rb2VI2Cl4 after structural relaxation at the GGA-PBE level of DFT.

Geometry as POSCAR:
```
Rb2VI2Cl4
1.0
-3.8103 3.8103 5.3227
3.8103 -3.8103 5.3227
3.8103 3.8103 -5.3227
Rb V I Cl
2 1 2 4
direct
0.2500 0.7500 0.5000
0.7500 0.2500 0.5000
0.0000 0.0000 0.0000
0.2607 0.2607 0.0000
0.7393 0.7393 0.0000
0.2147 0.2147 0.4295
0.2147 0.7853 0.0000
0.7853 0.2147 0.0000
0.7853 0.7853 0.5705
```

## Properties
As for the symmetry: I4/mmm (139). The spin magnetization comes out at 0.11 μB/atom. As for the density: 3.3 g cm⁻³. For the formation energy from raw total energies, the calculation gives -1309 meV per atom. The volume comes out at 34.346 Å³/atom.


Record 2
Computed, not measured: Rb2WI2Cl4 after structural relaxation at the GGA-PBE level of DFT.

Geometry as POSCAR:
```
Rb2WI2Cl4
1.0
-3.8256 3.8256 5.4676
3.8256 -3.8256 5.4676
3.8256 3.8256 -5.4676
Rb W I Cl
2 1 2 4
direct
0.2500 0.7500 0.5000
0.7500 0.2500 0.5000
0.0000 0.0000 0.0000
0.2557 0.2557 0.0000
0.7443 0.7443 0.0000
0.2206 0.2206 0.4412
0.2206 0.7794 0.0000
0.7794 0.2206 0.0000
0.7794 0.7794 0.5588
```

## Properties
As for the symmetry: I4/mmm (139). The spin magnetization comes out at 0.22 μB/atom. As for the density: 3.9 g cm⁻³. For the formation energy from raw total energies, the calculation gives -1137 meV per atom. The volume comes out at 35.563 Å³/atom.


Record 3
Computed, not measured: RbYICl2 after structural relaxation at the GGA-PBE level of DFT.

Geometry as POSCAR:
```
RbYICl2
1.0
5.3889 0.0000 0.0000
0.0000 5.3889 0.0000
0.0000 0.0000 6.1087
Rb Y I Cl
1 1 1 2
direct
0.0000 0.0000 0.0000
0.5000 0.5000 0.5000
0.5000 0.5000 0.0000
0.0000 0.5000 0.5000
0.5000 0.0000 0.5000
```

## Properties
As for the symmetry: P4/mmm (123). The spin magnetization comes out at 0.00 μB/atom. As for the density: 3.5 g cm⁻³. For the formation energy from raw total energies, the calculation gives -1650 meV per atom. The volume comes out at 35.480 Å³/atom.